# ZrTi3Bi2

Crystalline ZrTi3Bi2 at its relaxed geometry (PBE-GGA, Alexandria via LeMat-Bulk).

Unit cell a=3.8113 b=9.3149 c=10.1848 alpha=125.79 beta=90.00 gamma=101.80
Atoms (fractional coordinates):
Bi 0.4682 0.9364 0.1374
Bi 0.2299 0.4598 0.7155
Bi 0.7701 0.5402 0.2845
Bi 0.5318 0.0636 0.8626
Zr 0.1119 0.2237 0.1620
Zr 0.8881 0.7763 0.8380
Ti 0.0403 0.0806 0.4072
Ti 0.9597 0.9194 0.5928
Ti 0.3249 0.6497 0.5524
Ti 0.6752 0.3503 0.4476
Ti 0.5893 0.1786 0.6448
Ti 0.4107 0.8214 0.3552

Density, g/cm3: 7.639
ΔE_f, eV per atom: -0.132

# YHo2Tl3Se6

Crystalline YHo2Tl3Se6 at its relaxed geometry (PBE-GGA, Alexandria via LeMat-Bulk).

Unit cell a=7.2328 b=7.2328 c=8.1396 alpha=98.52 beta=98.52 gamma=120.00
Atoms (fractional coordinates):
Tl 0.5000 0.5000 0.5000
Tl 0.8335 0.1665 0.5000
Tl 0.1665 0.8335 0.5000
Se 0.0679 0.4028 0.2038
Se 0.4028 0.0679 0.2038
Se 0.9321 0.5972 0.7962
Se 0.2670 0.2670 0.7964
Se 0.5972 0.9321 0.7962
Se 0.7330 0.7330 0.2036
Y 0.0000 0.0000 0.0000
Ho 0.6667 0.3333 0.0000
Ho 0.3333 0.6667 0.0000

ΔE_f (raw), kJ/mol of formula units: -1607
Density, g/cm3: 7.099

# LiCa8Pt2

Crystalline LiCa8Pt2 at its relaxed geometry (PBE-GGA, Alexandria via LeMat-Bulk).

Unit cell a=5.8772 b=8.1572 c=8.1572 alpha=111.54 beta=96.99 gamma=96.99
Atoms (fractional coordinates):
Ca 0.2124 0.3913 0.3913
Ca 0.7874 0.6151 0.6151
Ca 0.9998 0.2537 0.7524
Ca 0.5853 0.3366 0.0657
Ca 0.4143 0.6694 0.9404
Ca 0.5853 0.0657 0.3366
Ca 0.4143 0.9404 0.6694
Ca 0.9998 0.7524 0.2537
Pt 0.4998 0.3175 0.6886
Pt 0.4998 0.6886 0.3175
Li 0.0015 0.0032 0.0032

Density, g/cm3: 3.356
ΔE_f, eV per atom: -0.423

# CeRe4Se8

Crystalline CeRe4Se8 at its relaxed geometry (PBE-GGA, Alexandria via LeMat-Bulk).

Unit cell a=7.4948 b=7.4986 c=7.5718 alpha=90.00 beta=119.65 gamma=120.03
Last column: magnetic moment on the atom in μB.
Atoms (fractional coordinates):
Se 0.0123 0.7643 0.7767  -0.02
Se 0.9877 0.2357 0.2233  -0.02
Se 0.5288 0.7644 0.7768  -0.02
Se 0.9877 0.7519 0.2232  -0.02
Se 0.4827 0.7413 0.2240  -0.04
Se 0.4712 0.2356 0.2232  -0.02
Se 0.0123 0.2481 0.7768  -0.02
Se 0.5173 0.2587 0.7760  -0.04
Re 0.5000 0.5000 0.0000  -1.36
Re 0.0000 0.0000 0.0000  -1.38
Re 0.0000 0.5000 0.0000  -1.35
Re 0.5000 0.0000 0.0000  -1.37
Ce 0.0000 0.5000 0.5000  0.17

ΔE_f (raw), kJ/mol of formula units: -212
Density, g/cm3: 8.329

# Ta2PtPb

Crystalline Ta2PtPb at its relaxed geometry (PBE-GGA, Alexandria via LeMat-Bulk).

Unit cell a=5.3259 b=5.3259 c=5.3259 alpha=135.08 beta=135.08 gamma=65.40
Atoms (fractional coordinates):
Ta 0.0000 0.0000 0.0000
Ta 0.5000 0.5000 0.0000
Pb 0.2500 0.7500 0.5000
Pt 0.7500 0.2500 0.5000

Density, g/cm3: 17.100
ΔE_f, eV per atom: 0.034

# YHoO3

Crystalline YHoO3 at its relaxed geometry (PBE-GGA, Alexandria via LeMat-Bulk).

Unit cell a=5.6154 b=5.6154 c=6.3540 alpha=63.78 beta=63.78 gamma=60.00
Atoms (fractional coordinates):
Y 0.3541 0.3541 0.9378
Y 0.6459 0.6459 0.0622
O 0.5446 0.2466 0.2511
O 0.9576 0.5446 0.2511
O 0.4554 0.0424 0.7489
O 0.2466 0.9576 0.2511
O 0.0424 0.7534 0.7489
O 0.7534 0.4554 0.7489
Ho 0.1470 0.1470 0.5589
Ho 0.8530 0.8530 0.4411

ΔE_f (raw), kJ/mol of formula units: -1633
Density, g/cm3: 6.717

# AcPuBi3

Crystalline AcPuBi3 at its relaxed geometry (PBE-GGA, Alexandria via LeMat-Bulk).

Unit cell a=5.8395 b=5.8395 c=5.8395 alpha=90.00 beta=90.00 gamma=90.00
Last column: magnetic moment on the atom in μB.
Atoms (fractional coordinates):
Bi 0.5000 0.0000 0.0000  -0.05
Bi 0.0000 0.0000 0.5000  -0.05
Bi 0.0000 0.5000 0.0000  -0.05
Ac 0.5000 0.5000 0.5000  -0.04
Pu 0.0000 0.0000 0.0000  5.02

Density, g/cm3: 9.156
ΔE_f, eV per atom: -0.056

# B3AsPb

Crystalline B3AsPb at its relaxed geometry (PBE-GGA, Alexandria via LeMat-Bulk).

Unit cell a=4.2583 b=4.2583 c=4.2583 alpha=90.00 beta=90.00 gamma=90.00
Atoms (fractional coordinates):
B 0.0000 0.5000 0.0000
B 0.5000 0.0000 0.0000
B 0.0000 0.0000 0.5000
Pb 0.5000 0.5000 0.5000
As 0.0000 0.0000 0.0000

Density, g/cm3: 6.764
Energy above the lowest structure with this stoichiometry, eV/atom: 0.000
ΔE_f, eV per atom: 1.694

# Cd12Hg4Sb

Crystalline Cd12Hg4Sb at its relaxed geometry (PBE-GGA, Alexandria via LeMat-Bulk).

Unit cell a=8.5809 b=8.5956 c=8.5899 alpha=109.49 beta=109.42 gamma=109.45
Atoms (fractional coordinates):
Cd 0.8539 0.3499 0.2041
Cd 0.6494 0.5036 0.8539
Cd 0.1457 0.3500 0.4962
Cd 0.7957 0.1462 0.6500
Cd 0.3506 0.4964 0.1461
Cd 0.2043 0.8538 0.3500
Cd 0.6501 0.7961 0.1460
Cd 0.3499 0.2039 0.8540
Cd 0.4960 0.1461 0.3502
Cd 0.1461 0.6501 0.7959
Cd 0.5040 0.8539 0.6498
Cd 0.8543 0.6500 0.5038
Hg 0.5000 0.5000 0.5000
Hg 0.5000 0.0000 0.0000
Hg 0.0000 0.5000 0.0000
Hg 0.0000 0.0000 0.5000
Sb 0.0000 0.0000 0.0000

ΔE_f (raw), kJ/mol of formula units: 288
Density, g/cm3: 7.734

# NaTcS2O8

Crystalline NaTcS2O8 at its relaxed geometry (PBE-GGA, Alexandria via LeMat-Bulk).

Unit cell a=4.8179 b=4.8179 c=8.2227 alpha=72.96 beta=72.96 gamma=60.00
Last column: magnetic moment on the atom in μB.
Atoms (fractional coordinates):
O 0.2622 0.9928 0.1638  0.02
O 0.1940 0.1940 0.4179  0.01
O 0.8060 0.8060 0.5821  0.01
O 0.9928 0.5812 0.1638  0.02
O 0.7378 0.0072 0.8362  0.02
O 0.0072 0.4188 0.8362  0.02
O 0.5812 0.2622 0.1638  0.02
O 0.4188 0.7378 0.8362  0.02
S 0.2569 0.2569 0.2294  0.01
S 0.7431 0.7431 0.7706  0.01
Tc 0.0000 0.0000 0.0000  1.64
Na 0.5000 0.5000 0.5000  0.00

ΔE_f (raw), kJ/mol of formula units: -1534
Density, g/cm3: 3.343

# K2SnO6

Crystalline K2SnO6 at its relaxed geometry (PBE-GGA, Alexandria via LeMat-Bulk).

Unit cell a=5.8574 b=5.8574 c=5.8574 alpha=75.41 beta=75.41 gamma=75.41
Last column: magnetic moment on the atom in μB.
Atoms (fractional coordinates):
O 0.2083 0.6837 0.9104  0.83
O 0.9104 0.2083 0.6837  0.83
O 0.3163 0.0896 0.7917  0.83
O 0.6837 0.9104 0.2083  0.83
O 0.7917 0.3163 0.0896  0.83
O 0.0896 0.7917 0.3163  0.83
K 0.3072 0.3072 0.3072  0.00
K 0.6928 0.6928 0.6928  0.00
Sn 0.0000 0.0000 0.0000  -0.11

ΔE_f (raw), kJ/mol of formula units: -348
Density, g/cm3: 2.638

# KLiTe2S4

Crystalline KLiTe2S4 at its relaxed geometry (PBE-GGA, Alexandria via LeMat-Bulk).

Unit cell a=6.8636 b=6.6967 c=6.6967 alpha=87.16 beta=59.17 gamma=59.17
Atoms (fractional coordinates):
K 0.0000 0.0000 0.0000
Li 0.0000 0.5000 0.5000
S 0.5725 0.5625 0.8661
S 0.4275 0.1339 0.4375
S 0.0011 0.4375 0.1339
S 0.9989 0.8661 0.5625
Te 0.5000 0.7493 0.2507
Te 0.5000 0.2507 0.7493

ΔE_f (raw), kJ/mol of formula units: -328
Density, g/cm3: 3.282

# Ho2TlGa2Rh5

Crystalline Ho2TlGa2Rh5 at its relaxed geometry (PBE-GGA, Alexandria via LeMat-Bulk).

Unit cell a=3.6292 b=9.8275 c=9.8275 alpha=90.00 beta=90.00 gamma=90.00
Atoms (fractional coordinates):
Tl 0.0000 0.5000 0.5000
Tl 0.0000 0.0000 0.0000
Ho 0.0000 0.3253 0.8253
Ho 0.0000 0.1747 0.3253
Ho 0.0000 0.8253 0.6747
Ho 0.0000 0.6747 0.1747
Ga 0.0000 0.8770 0.3770
Ga 0.0000 0.3770 0.1230
Ga 0.0000 0.6230 0.8770
Ga 0.0000 0.1230 0.6230
Rh 0.5000 0.0697 0.7897
Rh 0.5000 0.7103 0.4303
Rh 0.5000 0.5697 0.7103
Rh 0.5000 0.0000 0.5000
Rh 0.5000 0.2103 0.0697
Rh 0.5000 0.7897 0.9303
Rh 0.5000 0.2897 0.5697
Rh 0.5000 0.5000 0.0000
Rh 0.5000 0.4303 0.2897
Rh 0.5000 0.9303 0.2103

Density, g/cm3: 11.258
ΔE_f, eV per atom: -0.708

# LaBeP

Crystalline LaBeP at its relaxed geometry (PBE-GGA, Alexandria via LeMat-Bulk).

Unit cell a=4.0922 b=4.0922 c=13.3192 alpha=90.00 beta=90.00 gamma=90.00
Atoms (fractional coordinates):
Be 0.5000 0.0000 0.2175
Be 0.5000 0.5000 0.9675
Be 0.0000 0.0000 0.4675
Be 0.0000 0.5000 0.7175
La 0.0000 0.0000 0.8848
La 0.5000 0.0000 0.6348
La 0.5000 0.5000 0.3848
La 0.0000 0.5000 0.1348
P 0.5000 0.0000 0.0523
P 0.0000 0.0000 0.3023
P 0.0000 0.5000 0.5523
P 0.5000 0.5000 0.8023

Density, g/cm3: 5.327
Energy above the lowest structure with this stoichiometry, eV/atom: 0.080
ΔE_f, eV per atom: -0.918

# Mn2Ga5

Crystalline Mn2Ga5 at its relaxed geometry (PBE-GGA, Alexandria via LeMat-Bulk).

Unit cell a=8.8175 b=8.8175 c=2.6924 alpha=90.00 beta=90.00 gamma=90.00
Last column: magnetic moment on the atom in μB.
Atoms (fractional coordinates):
Mn 0.8218 0.3218 0.5000  2.36
Mn 0.1782 0.6782 0.5000  2.36
Mn 0.6782 0.8218 0.5000  2.36
Mn 0.3218 0.1782 0.5000  2.36
Ga 0.9351 0.7940 0.0000  -0.07
Ga 0.0649 0.2060 0.0000  -0.07
Ga 0.7940 0.0649 0.0000  -0.07
Ga 0.0000 0.5000 0.0000  -0.07
Ga 0.2060 0.9351 0.0000  -0.07
Ga 0.2940 0.4351 0.0000  -0.07
Ga 0.5000 0.0000 0.0000  -0.07
Ga 0.4351 0.7060 0.0000  -0.07
Ga 0.5649 0.2940 0.0000  -0.07
Ga 0.7060 0.5649 0.0000  -0.07

Density, g/cm3: 7.274
ΔE_f, eV per atom: -0.132

# DyPuNi2P2

Crystalline DyPuNi2P2 at its relaxed geometry (PBE-GGA, Alexandria via LeMat-Bulk).

Unit cell a=3.9003 b=3.9003 c=7.7768 alpha=90.00 beta=90.00 gamma=120.00
Last column: magnetic moment on the atom in μB.
Atoms (fractional coordinates):
P 0.3333 0.6667 0.2536  -0.06
P 0.6667 0.3333 0.7464  -0.06
Ni 0.3333 0.6667 0.7512  -0.11
Ni 0.6667 0.3333 0.2488  -0.11
Dy 0.0000 0.0000 0.5000  0.09
Pu 0.0000 0.0000 0.0000  5.08

Density, g/cm3: 9.495
ΔE_f, eV per atom: -1.066

# TePd2RhBr

Crystalline TePd2RhBr at its relaxed geometry (PBE-GGA, Alexandria via LeMat-Bulk).

Unit cell a=4.9396 b=5.6994 c=4.9396 alpha=90.00 beta=90.00 gamma=90.00
Last column: magnetic moment on the atom in μB.
Atoms (fractional coordinates):
Rh 0.5000 0.5000 0.5000  1.53
Pd 0.0000 0.0000 0.5000  0.02
Pd 0.5000 0.0000 0.0000  0.03
Br 0.0000 0.5000 0.0000  0.07
Te 0.0000 0.0000 0.0000  0.01

ΔE_f (raw), kJ/mol of formula units: 449
Density, g/cm3: 6.248

# Ti5FeTc4

Crystalline Ti5FeTc4 at its relaxed geometry (PBE-GGA, Alexandria via LeMat-Bulk).

Unit cell a=3.0798 b=3.0798 c=15.4052 alpha=90.00 beta=90.00 gamma=90.00
Atoms (fractional coordinates):
Ti 0.5000 0.5000 0.7035
Ti 0.5000 0.5000 0.0953
Ti 0.5000 0.5000 0.5000
Ti 0.5000 0.5000 0.9047
Ti 0.5000 0.5000 0.2965
Tc 0.0000 0.0000 0.1951
Tc 0.0000 0.0000 0.6014
Tc 0.0000 0.0000 0.8049
Tc 0.0000 0.0000 0.3986
Fe 0.0000 0.0000 0.0000

Density, g/cm3: 7.809
ΔE_f, eV per atom: -0.461

# LiZnInCl6

Crystalline LiZnInCl6 at its relaxed geometry (PBE-GGA, Alexandria via LeMat-Bulk).

Unit cell a=6.3860 b=6.3860 c=11.8262 alpha=90.00 beta=90.00 gamma=120.00
Atoms (fractional coordinates):
Zn 0.3333 0.6667 0.7500
Zn 0.6667 0.3333 0.2500
Cl 0.9924 0.3443 0.1299
Cl 0.9924 0.6481 0.3701
Cl 0.0076 0.6557 0.8701
Cl 0.3519 0.0076 0.1299
Cl 0.6481 0.6557 0.6299
Cl 0.3443 0.3519 0.8701
Cl 0.0076 0.3519 0.6299
Cl 0.3519 0.3443 0.3701
Cl 0.6557 0.0076 0.3701
Cl 0.3443 0.9924 0.6299
Cl 0.6481 0.9924 0.8701
Cl 0.6557 0.6481 0.1299
Li 0.0000 0.0000 0.5000
Li 0.0000 0.0000 0.0000
In 0.6667 0.3333 0.7500
In 0.3333 0.6667 0.2500

ΔE_f (raw), kJ/mol of formula units: -1061
Density, g/cm3: 3.180

# Hf2MgHg

Crystalline Hf2MgHg at its relaxed geometry (PBE-GGA, Alexandria via LeMat-Bulk).

Unit cell a=4.4526 b=4.3351 c=4.3351 alpha=90.00 beta=90.00 gamma=90.00
Last column: magnetic moment on the atom in μB.
Atoms (fractional coordinates):
Mg 0.5000 0.0000 0.0000  0.00
Hf 0.0000 0.0000 0.5000  0.11
Hf 0.0000 0.5000 0.0000  0.11
Hg 0.5000 0.5000 0.5000  0.01

Density, g/cm3: 11.547
Energy above the lowest structure with this stoichiometry, eV/atom: 0.104
ΔE_f, eV per atom: 0.012

# CaP2Os

Crystalline CaP2Os at its relaxed geometry (PBE-GGA, Alexandria via LeMat-Bulk).

Unit cell a=5.2571 b=5.2571 c=5.2571 alpha=137.54 beta=137.54 gamma=61.61
Atoms (fractional coordinates):
P 0.0000 0.0000 0.0000
P 0.2500 0.7500 0.5000
Os 0.7500 0.2500 0.5000
Ca 0.5000 0.5000 0.0000

Density, g/cm3: 7.413
Energy above the lowest structure with this stoichiometry, eV/atom: 0.887
ΔE_f, eV per atom: 0.286

# CsFe3Sn

Crystalline CsFe3Sn at its relaxed geometry (PBE-GGA, Alexandria via LeMat-Bulk).

Unit cell a=4.9070 b=4.9070 c=4.9070 alpha=90.00 beta=90.00 gamma=90.00
Last column: magnetic moment on the atom in μB.
Atoms (fractional coordinates):
Sn 0.5000 0.5000 0.5000  0.00
Fe 0.5000 0.0000 0.0000  2.62
Fe 0.0000 0.5000 0.0000  2.67
Fe 0.0000 0.0000 0.5000  2.48
Cs 0.0000 0.0000 0.0000  -0.03

Density, g/cm3: 5.891
ΔE_f, eV per atom: 2.327

# LiPmCo

Crystalline LiPmCo at its relaxed geometry (PBE-GGA, Alexandria via LeMat-Bulk).

Unit cell a=3.8961 b=3.8962 c=11.5928 alpha=90.00 beta=80.33 gamma=60.01
Last column: magnetic moment on the atom in μB.
Atoms (fractional coordinates):
Co 0.4989 0.5214 0.2912  0.40
Co 0.8324 0.8547 0.2904  0.40
Pm 0.0555 0.2431 0.4562  -0.06
Pm 0.2758 0.1330 0.1254  -0.06
Li 0.7730 0.3846 0.8790  0.00
Li 0.5578 0.9917 0.7025  0.00

Density, g/cm3: 4.684
Energy above the lowest structure with this stoichiometry, eV/atom: 0.016
ΔE_f, eV per atom: -0.022